# Cs3Np3PtSe8, optimized geometry, DFT GGA-PBE
# Total magnetic moment: 0.667 μB per atom
# Crystal system: monoclinic
# Raw formation energy: -15.8 eV per formula unit
# Raw total energy: -6.071 eV per atom
data_Cs3Np3PtSe8
_chemical_formula_sum 'Cs6 Np6 Pt2 Se16'
_cell_length_a 15.066
_cell_length_b 8.013
_cell_length_c 9.905
_cell_angle_alpha 90.00
_cell_angle_beta 121.83
_cell_angle_gamma 90.00
_symmetry_space_group_name_H-M 'C 1 2/m 1'
_symmetry_Int_Tables_number 12
_symmetry_space_group_name_Hall '-C 2y'
loop_
_atom_site_label
_atom_site_fract_x
_atom_site_fract_y
_atom_site_fract_z
Cs1 0.000 0.000 0.000
Cs2 0.250 0.250 0.000
Np1 0.000 0.500 0.500
Np2 0.250 0.250 0.500
Pt1 0.000 0.000 0.500
Se1 0.023 0.220 0.339
Se2 0.200 0.500 0.273
Se3 0.227 0.500 0.688